Entry from Alexandria: a geometry-optimized FeCu2BF structure (PBE with a Hubbard U).

Calculated values
Total energy ... -17.0 eV for the cell shown
Total magnetization ... 2.41 μB per cell
DOS(E_F) ... 0.647 states/eV per atom

abc: 4.572 3.894 4.572
angles: 90.00 90.00 90.00
Site moments in Bohr magnetons follow the coordinates.
Sites, in units of the cell vectors:
1 Fe 0.000 0.000 0.000  2.72
2 B 0.000 0.500 0.000  -0.17
3 F 0.500 0.500 0.500  -0.07
4 Cu 0.000 0.000 0.500  0.12
5 Cu 0.500 0.000 0.000  0.02